DFT (PBE-GGA) results for an optimized crystal structure of NaCa2TiMn.

Lattice parameters (Å, degrees): 5.8143 5.8143 4.4156 90.00 90.00 90.00
Space group P4/mmm (No. 123)
Inequivalent atoms, fractional coordinates:
Na  0.0000  0.0000  0.0000 (multiplicity 1)
Ca  0.0000  0.5000  0.5000 (multiplicity 2)
Ti  0.5000  0.5000  0.0000 (multiplicity 1)
Mn  0.5000  0.5000  0.5000 (multiplicity 1)

Computed properties:
- ΔE_f: 0.433 eV/atom
- Size of the total moment: 1.1 μB per formula unit
- D(E_F): 0.749 states/eV per atom
- ρ: 2.29 Mg/m³

***

DFT (PBE-GGA) results for an optimized crystal structure of NaCaMn2Tl.

Lattice parameters (Å, degrees): 5.3127 5.3127 5.6560 90.00 90.00 90.00
Space group P4/mmm (No. 123)
Inequivalent atoms, fractional coordinates:
Na  0.0000  0.0000  0.0000 (multiplicity 1)
Ca  0.0000  0.0000  0.5000 (multiplicity 1)
Mn  0.0000  0.5000  0.5000 (multiplicity 2)
Tl  0.5000  0.5000  0.0000 (multiplicity 1)

Computed properties:
- ΔE_f: 1.284 eV/atom
- Size of the total moment: 7.6 μB per formula unit
- D(E_F): 1.135 states/eV per atom
- ρ: 3.92 Mg/m³

***

DFT (PBE-GGA) results for an optimized crystal structure of CaMn3Nb.

Lattice parameters (Å, degrees): 4.8392 4.8392 4.8392 90.00 90.00 90.00
Space group Pm-3m (No. 221)
Inequivalent atoms, fractional coordinates:
Ca  0.0000  0.0000  0.0000 (multiplicity 1)
Mn  0.0000  0.5000  0.5000 (multiplicity 3)
Nb  0.5000  0.5000  0.5000 (multiplicity 1)

Computed properties:
- ΔE_f: 0.846 eV/atom
- Size of the total moment: 9.1 μB per formula unit
- D(E_F): 1.110 states/eV per atom
- ρ: 4.36 Mg/m³
- Polymorph energy (0 for the lowest one): 0 meV/atom

***

DFT (PBE-GGA) results for an optimized crystal structure of Ca2MnNb.

Lattice parameters (Å, degrees): 7.1176 7.1176 7.1176 90.00 90.00 90.00
Space group Fm-3m (No. 225)
Inequivalent atoms, fractional coordinates:
Ca  0.2500  0.2500  0.2500 (multiplicity 8)
Mn  0.0000  0.0000  0.0000 (multiplicity 4)
Nb  0.0000  0.0000  0.5000 (multiplicity 4)

Computed properties:
- ΔE_f: 1.312 eV/atom
- Size of the total moment: 0.0 μB per formula unit
- D(E_F): 4.766 states/eV per atom
- ρ: 4.20 Mg/m³
- Polymorph energy (0 for the lowest one): 395 meV/atom

***

DFT (PBE-GGA) results for an optimized crystal structure of CaMnNb3.

Lattice parameters (Å, degrees): 4.7432 4.7432 4.7432 90.00 90.00 90.00
Space group Pm-3m (No. 221)
Inequivalent atoms, fractional coordinates:
Ca  0.0000  0.0000  0.0000 (multiplicity 1)
Mn  0.5000  0.5000  0.5000 (multiplicity 1)
Nb  0.0000  0.5000  0.5000 (multiplicity 3)

Computed properties:
- ΔE_f: 0.640 eV/atom
- Size of the total moment: 0.0 μB per formula unit
- D(E_F): 1.444 states/eV per atom
- ρ: 5.82 Mg/m³
- Polymorph energy (0 for the lowest one): 0 meV/atom

***

DFT (PBE-GGA) results for an optimized crystal structure of Ca2MnNb.

Lattice parameters (Å, degrees): 10.9764 10.9764 4.3475 90.00 90.00 90.00
Space group I-42d (No. 122)
Inequivalent atoms, fractional coordinates:
Ca  0.0856  0.2500  0.1250 (multiplicity 8)
Mn  0.0000  0.0000  0.0000 (multiplicity 4)
Nb  0.0000  0.0000  0.5000 (multiplicity 4)

Computed properties:
- ΔE_f: 0.917 eV/atom
- Size of the total moment: 0.0 μB per formula unit
- D(E_F): 1.303 states/eV per atom
- ρ: 2.89 Mg/m³
- Polymorph energy (0 for the lowest one): 0 meV/atom

***

DFT (PBE-GGA) results for an optimized crystal structure of CaMnNb3.

Lattice parameters (Å, degrees): 4.6479 4.6479 4.6479 90.00 90.00 90.00
Space group Pm-3m (No. 221)
Inequivalent atoms, fractional coordinates:
Ca  0.0000  0.0000  0.0000 (multiplicity 1)
Mn  0.5000  0.5000  0.5000 (multiplicity 1)
Nb  0.0000  0.0000  0.5000 (multiplicity 3)

Computed properties:
- ΔE_f: 2.684 eV/atom
- Size of the total moment: 0.0 μB per formula unit
- D(E_F): 1.908 states/eV per atom
- ρ: 6.18 Mg/m³
- Polymorph energy (0 for the lowest one): 2044 meV/atom

***

DFT (PBE-GGA) results for an optimized crystal structure of CaMn2NbNi.

Lattice parameters (Å, degrees): 4.1816 4.1816 4.7108 90.00 90.00 90.00
Space group P4/mmm (No. 123)
Inequivalent atoms, fractional coordinates:
Ca  0.0000  0.0000  0.0000 (multiplicity 1)
Mn  0.0000  0.5000  0.0000 (multiplicity 2)
Nb  0.0000  0.0000  0.5000 (multiplicity 1)
Ni  0.5000  0.5000  0.5000 (multiplicity 1)

Computed properties:
- ΔE_f: 2.495 eV/atom
- Size of the total moment: 0.0 μB per formula unit
- D(E_F): 1.409 states/eV per atom
- ρ: 6.08 Mg/m³

***

What are the E_tot values for these records? In order: -0.149 -0.129 -0.260 -0.165 -0.281 -0.180 -0.206 -0.174 hartree per atom.